Here is crystalline BeSe at its relaxed geometry from the Alexandria database. Energies are from GGA-PBE.

Summary:
* V: 30 Å³/f.u.
* energy relative to the lowest polymorph listed for this composition: 545 meV per atom
* E_form (uncorrected): -50.0 kJ/mol of formula units
* total magnetic moment: 0.00 μB/f.u.

abc: 4.925 4.925 4.925
angles: 90.00 90.00 90.00
Space group Fm-3m (No. 225)
Symmetry-distinct sites (fractional):
Be: 0.000 0.000 0.000
Se: 0.000 0.000 0.500